Entry 1:
The following is a meta-GGA SCAN calculation of a crystal of Ti3ZnC relaxed with PBEsol, from Alexandria via LeMat-Bulk.

Lattice parameters (Å, degrees): 4.124 4.124 4.124 90.00 90.00 90.00
Positions (direct):
1 Ti 0.500 0.000 0.500
2 Ti 0.500 0.500 0.000
3 Ti 0.000 0.500 0.500
4 Zn 0.000 0.000 0.000
5 C 0.500 0.500 0.500

Computed properties:
The density of states at the Fermi level comes out at 0.55 states/eV/atom. As for the space group: Pm-3m (221). The calculation puts the calculated volume at 70.1 Å³/cell. The calculated formation energy is -0.58 eV per atom. The total energy is -74.60 eV per formula unit.

***

Entry 2:
The following is a meta-GGA SCAN calculation of a crystal of Ti3Zn3C relaxed with PBEsol, from Alexandria via LeMat-Bulk.

Lattice parameters (Å, degrees): 8.075 8.075 8.075 60.00 60.00 60.00
Positions (direct):
1 C 0.125 0.125 0.125
2 C 0.125 0.125 0.625
3 C 0.625 0.125 0.125
4 C 0.125 0.625 0.125
5 Zn 0.625 0.625 0.125
6 Zn 0.625 0.625 0.625
7 Zn 0.416 0.416 0.753
8 Zn 0.834 0.497 0.834
9 Zn 0.625 0.125 0.625
10 Zn 0.834 0.834 0.834
11 Zn 0.416 0.753 0.416
12 Zn 0.125 0.625 0.625
13 Zn 0.497 0.834 0.834
14 Zn 0.834 0.834 0.497
15 Zn 0.753 0.416 0.416
16 Zn 0.416 0.416 0.416
17 Ti 0.185 0.815 0.185
18 Ti 0.185 0.815 0.815
19 Ti 0.435 0.065 0.435
20 Ti 0.185 0.185 0.815
21 Ti 0.065 0.065 0.435
22 Ti 0.815 0.185 0.815
23 Ti 0.815 0.815 0.185
24 Ti 0.435 0.065 0.065
25 Ti 0.065 0.435 0.435
26 Ti 0.815 0.185 0.185
27 Ti 0.435 0.435 0.065
28 Ti 0.065 0.435 0.065

Computed properties:
The density of states at the Fermi level comes out at 0.68 states/eV/atom. As for the space group: Fd-3m (227). The calculation puts the calculated volume at 372.3 Å³/cell. The calculated formation energy is -0.55 eV per atom. The total energy is -102.60 eV per formula unit.

***

Entry 3:
The following is a meta-GGA SCAN calculation of a crystal of ZrTiC3 relaxed with PBEsol, from Alexandria via LeMat-Bulk.

Lattice parameters (Å, degrees): 3.900 3.900 3.900 90.00 90.00 90.00
Positions (direct):
1 Zr 0.500 0.500 0.500
2 C 0.000 0.500 0.000
3 C 0.000 0.000 0.500
4 C 0.500 0.000 0.000
5 Ti 0.000 0.000 0.000

Computed properties:
The density of states at the Fermi level comes out at 0.63 states/eV/atom. As for the space group: Pm-3m (221). The calculation puts the calculated volume at 59.3 Å³/cell. The calculated formation energy is 0.98 eV per atom. The total energy is -72.11 eV per formula unit.

***

Entry 4:
The following is a meta-GGA SCAN calculation of a crystal of Zr3TiC relaxed with PBEsol, from Alexandria via LeMat-Bulk.

Lattice parameters (Å, degrees): 4.519 4.519 4.519 90.00 90.00 90.00
Positions (direct):
1 Zr 0.000 0.500 0.000
2 Zr 0.000 0.000 0.500
3 Zr 0.500 0.000 0.000
4 C 0.000 0.000 0.000
5 Ti 0.500 0.500 0.500

Computed properties:
The density of states at the Fermi level comes out at 0.83 states/eV/atom. As for the space group: Pm-3m (221). The calculation puts the calculated volume at 92.3 Å³/cell. The calculated formation energy is -0.29 eV per atom. The total energy is -119.65 eV per formula unit.

***

Entry 5:
The following is a meta-GGA SCAN calculation of a crystal of ZrTi2C relaxed with PBEsol, from Alexandria via LeMat-Bulk.

Lattice parameters (Å, degrees): 5.868 5.868 5.868 93.07 118.24 118.24
Positions (direct):
1 Zr 0.500 0.750 0.250
2 Zr 0.000 0.000 0.000
3 Ti 0.856 0.481 0.125
4 Ti 0.144 0.269 0.625
5 Ti 0.356 0.875 0.731
6 Ti 0.644 0.375 0.519
7 C 0.000 0.500 0.500
8 C 0.500 0.250 0.750

Computed properties:
The density of states at the Fermi level comes out at 0.70 states/eV/atom. As for the space group: I-42d (122). The calculation puts the calculated volume at 146.4 Å³/cell. The calculated formation energy is 0.34 eV per atom. The total energy is -71.50 eV per formula unit.

***

Entry 6:
The following is a meta-GGA SCAN calculation of a crystal of Tl2C relaxed with PBEsol, from Alexandria via LeMat-Bulk.

Lattice parameters (Å, degrees): 3.544 6.552 6.325 85.42 106.27 90.00
Positions (direct):
1 Tl 0.106 0.178 0.212
2 Tl 0.166 0.686 0.331
3 Tl 0.834 0.314 0.669
4 Tl 0.894 0.822 0.788
5 C 0.501 0.599 0.001
6 C 0.499 0.401 0.999

Computed properties:
The density of states at the Fermi level comes out at 0.33 states/eV/atom. As for the space group: C2/m (12). The calculation puts the calculated volume at 140.5 Å³/cell. The calculated formation energy is 0.69 eV per atom. The total energy is -152.75 eV per formula unit.